(1)
Entry from Alexandria: Er2AlSi4Ni3 after structural relaxation (PBE-GGA).

Structure (POSCAR):
```
Er2AlSi4Ni3
1.0
-3.625 0.278 -1.445
0.303 -3.618 -1.457
-3.675 -3.732 8.501
Er Al Si Ni
2 1 4 3
Direct
0.500 0.000 0.239 Er
0.000 0.500 0.761 Er
0.500 0.500 0.500 Al
0.500 0.500 0.000 Si
0.000 0.000 0.000 Si
0.500 0.000 0.650 Si
0.000 0.500 0.350 Si
0.000 0.000 0.500 Ni
0.500 0.000 0.877 Ni
0.000 0.500 0.123 Ni
```

**Energy relative to the elements, uncorrected**: -790 meV per atom
**Space-group type**: P-4m2, No. 115
**Magnetic moment**: 0.0000 μB per atom
**Final energy**: -0.440 Ry per atom



(2)
Entry from Alexandria: YScIrRh2 after structural relaxation (PBE-GGA).

Structure (POSCAR):
```
YScIrRh2
1.0
-3.098 0.820 -3.667
0.341 -4.672 -1.333
-3.846 -1.135 2.996
Y Sc Ir Rh
1 1 1 2
Direct
0.000 0.000 0.500 Y
0.500 0.500 0.500 Sc
0.000 0.000 0.000 Ir
0.000 0.500 0.000 Rh
0.500 0.000 0.000 Rh
```

**Energy of formation from the pure elements**: 237.8 kJ/mol of formula units
**Space-group type**: P4/mmm, No. 123
**Magnetic moment**: 0.1711 μB per atom
**Final energy**: -0.498 Ry per atom



(3)
Entry from Alexandria: Na3Tb3SbSe8 after structural relaxation (PBE-GGA).

Structure (POSCAR):
```
Na3Tb3SbSe8
1.0
-0.148 8.119 1.544
-2.327 -5.361 5.844
8.261 0.542 -2.060
Na Tb Sb Se
3 3 1 8
Direct
0.000 0.000 0.000 Na
0.000 0.500 0.000 Na
0.500 0.500 0.000 Na
0.500 0.000 0.500 Tb
0.500 0.500 0.500 Tb
0.000 0.500 0.500 Tb
0.000 0.000 0.500 Sb
0.257 0.514 0.271 Se
0.743 0.486 0.729 Se
0.763 0.526 0.275 Se
0.237 0.474 0.725 Se
0.763 0.012 0.275 Se
0.237 0.988 0.725 Se
0.249 0.012 0.275 Se
0.751 0.988 0.725 Se
```

**Energy relative to the elements, uncorrected**: -1384 meV per atom
**Space-group type**: R-3m, No. 166
**Magnetic moment**: 0.0000 μB per atom
**Final energy**: -0.346 Ry per atom



Please write out number 3 again, unchanged.
Entry from Alexandria: Na3Tb3SbSe8 after structural relaxation (PBE-GGA).

Structure (POSCAR):
```
Na3Tb3SbSe8
1.0
-0.148 8.119 1.544
-2.327 -5.361 5.844
8.261 0.542 -2.060
Na Tb Sb Se
3 3 1 8
Direct
0.000 0.000 0.000 Na
0.000 0.500 0.000 Na
0.500 0.500 0.000 Na
0.500 0.000 0.500 Tb
0.500 0.500 0.500 Tb
0.000 0.500 0.500 Tb
0.000 0.000 0.500 Sb
0.257 0.514 0.271 Se
0.743 0.486 0.729 Se
0.763 0.526 0.275 Se
0.237 0.474 0.725 Se
0.763 0.012 0.275 Se
0.237 0.988 0.725 Se
0.249 0.012 0.275 Se
0.751 0.988 0.725 Se
```

**Energy relative to the elements, uncorrected**: -1384 meV per atom
**Space-group type**: R-3m, No. 166
**Magnetic moment**: 0.0000 μB per atom
**Final energy**: -0.346 Ry per atom